A geometry-optimized PmDy12Tm6 structure. Source: Alexandria via LeMat-Bulk, functional PBE-GGA.

Cell lengths 11.8123, 11.8123, 15.0916 Å; angles 90.00, 90.00, 120.00 degrees
Closest atoms and distances in Å follow each position.
Space group R-3 (No. 148, hexagonal axes)
Inequivalent atoms, fractional coordinates:
1 Pm 0.0000 0.0000 0.0000  6 Tm 3.45, 6 Dy 3.55
2 Dy 0.0143 0.1810 0.1915  4 Dy 3.40-3.57, 4 Tm 3.49-3.64, 1 Pm 3.55
3 Dy 0.0418 0.1913 0.4159  3 Tm 3.23-3.42, 6 Dy 3.27-3.56
4 Tm 0.0099 0.5862 0.6808  6 Dy 3.23-3.57, 1 Pm 3.45, 2 Tm 3.47

Results
Its total moment is 0.000 μB per atom. Its energy above the lowest structure with this stoichiometry is 0.000 eV per atom.

A geometry-optimized Pm11Dy9Tm4 structure. Source: Alexandria via LeMat-Bulk, functional PBE-GGA.

Cell lengths 16.9068, 25.6626, 3.6383 Å; angles 90.00, 90.00, 90.00 degrees
Closest atoms and distances in Å follow each position.
Space group Cmmm (No. 65)
Inequivalent atoms, fractional coordinates:
1 Pm 0.0000 0.0000 0.0000  8 Dy 3.54, 2 Pm 3.64
2 Pm 0.0000 0.1609 0.0000  4 Pm 3.64-3.83, 8 Dy 3.72-3.76
3 Pm 0.0000 0.3689 0.0000  4 Tm 3.31, 4 Dy 3.61, 2 Pm 3.64
4 Pm 0.2072 0.5000 0.0000  4 Tm 3.29, 2 Pm 3.64, 4 Dy 3.66
5 Pm 0.2243 0.1811 0.0000  2 Tm 3.39, 6 Dy 3.54-3.69, 3 Pm 3.64
6 Dy 0.0000 0.5000 0.5000  2 Dy 3.64, 4 Tm 3.73, 8 Pm 3.83-3.95
7 Dy 0.1023 0.2680 0.5000  3 Dy 3.46-3.64, 1 Tm 3.47, 8 Pm 3.54-3.72
8 Dy 0.1413 0.0730 0.5000  1 Tm 3.48, 8 Pm 3.54-3.76, 3 Dy 3.64-3.75
9 Tm 0.1573 0.3982 0.5000  6 Pm 3.29-3.39, 2 Dy 3.47-3.48, 2 Tm 3.64

Results
Its total moment is 0.000 μB per atom.

A geometry-optimized PmDyTm5 structure. Source: Alexandria via LeMat-Bulk, functional PBE-GGA.

Cell lengths 11.5129, 6.7459, 11.9998 Å; angles 90.00, 109.41, 90.00 degrees
Closest atoms and distances in Å follow each position.
Space group C2/c (No. 15)
Inequivalent atoms, fractional coordinates:
1 Pm 0.0000 0.0255 0.2500  3 Tm 2.94-3.29
2 Dy 0.2500 0.2500 0.0000  4 Tm 3.22-3.57
3 Tm 0.0000 0.4110 0.7500  1 Pm 2.94, 2 Tm 2.97
4 Tm 0.0784 0.2765 0.4989  4 Tm 3.26-3.54, 1 Pm 3.29
5 Tm 0.2205 0.3600 0.2504  2 Tm 2.97-3.26, 1 Dy 3.22

Results
Its total moment is 0.000 μB per atom. Its energy above the lowest structure with this stoichiometry is 0.000 eV per atom.

A geometry-optimized Pm11Dy4Tm9 structure. Source: Alexandria via LeMat-Bulk, functional PBE-GGA.

Cell lengths 16.8167, 25.4764, 3.6445 Å; angles 90.00, 90.00, 90.00 degrees
Closest atoms and distances in Å follow each position.
Space group Cmmm (No. 65)
Inequivalent atoms, fractional coordinates:
1 Pm 0.0000 0.0000 0.0000  8 Tm 3.51, 2 Pm 3.64
2 Pm 0.0000 0.1603 0.0000  4 Pm 3.64-3.81, 8 Tm 3.69-3.73
3 Pm 0.0000 0.3680 0.0000  4 Dy 3.30, 4 Tm 3.59, 2 Pm 3.64
4 Pm 0.2081 0.5000 0.0000  4 Dy 3.28, 4 Tm 3.64, 2 Pm 3.64
5 Pm 0.2245 0.1812 0.0000  2 Dy 3.38, 6 Tm 3.52-3.69, 3 Pm 3.61-3.64
6 Dy 0.1567 0.3985 0.5000  6 Pm 3.28-3.38, 2 Tm 3.47-3.49, 2 Dy 3.64
7 Tm 0.0000 0.5000 0.5000  2 Tm 3.64, 4 Dy 3.69, 8 Pm 3.82-3.95
8 Tm 0.1018 0.2671 0.5000  3 Tm 3.42-3.64, 1 Dy 3.47, 8 Pm 3.52-3.69
9 Tm 0.1406 0.0727 0.5000  1 Dy 3.49, 8 Pm 3.51-3.73, 3 Tm 3.64-3.71

Results
Its total moment is 0.000 μB per atom.

no.,formation energy from the elements (eV/atom),uncorrected energy (eV per cell)
1,0.16,-251.52
2,0.05,-220.60
3,0.20,-121.17
4,0.06,-219.14